[1]
The following is a PBE-GGA calculation of an optimized crystal structure of KPr4I8, from Alexandria.

Computed properties:
**Energy relative to the elements, uncorrected**: -1.267 eV per atom
**DFT total energy**: -49.092 eV/cell

Unit cell a=8.320 b=8.320 c=10.778 alpha=90.00 beta=112.70 gamma=120.00
Atoms (fractional coordinates):
K1 0.000 0.500 0.500
Pr1 0.000 0.000 0.000
Pr2 0.000 0.500 0.000
Pr3 0.500 0.500 0.000
Pr4 0.500 0.000 0.000
I1 0.483 0.741 0.224
I2 0.517 0.259 0.776
I3 0.483 0.241 0.227
I4 0.015 0.256 0.773
I5 0.517 0.759 0.773
I6 0.015 0.759 0.773
I7 0.985 0.241 0.227
I8 0.985 0.744 0.227

***

[2]
The following is a PBE-GGA calculation of an optimized crystal structure of Y2GaPd3, from Alexandria.

Computed properties:
**E above lowest polymorph**: 185.0 meV/atom
**Formation energy**: -0.668 eV per atom
**DFT total energy**: -35.542 eV/cell

Unit cell a=4.447 b=5.382 c=6.363 alpha=115.02 beta=110.45 gamma=90.00
Atoms (fractional coordinates):
Y1 0.693 0.193 0.387
Y2 0.307 0.807 0.613
Ga1 0.000 0.500 0.000
Pd1 0.374 0.374 0.748
Pd2 0.000 0.000 0.000
Pd3 0.626 0.626 0.252

***

[3]
The following is a PBE-GGA calculation of an optimized crystal structure of PuIn3O8, from Alexandria.

Computed properties:
**Energy relative to the elements, uncorrected**: -1.606 eV per atom
**DFT total energy**: -81.486 eV/cell

Unit cell a=5.817 b=5.817 c=6.460 alpha=90.00 beta=90.00 gamma=121.43
Last column: magnetic moment on the atom in μB.
Atoms (fractional coordinates):
Pu1 0.500 0.500 0.500  1.43
In1 0.000 0.500 0.236  0.00
In2 0.500 0.500 0.000  0.00
In3 0.500 0.000 0.764  0.00
O1 0.703 0.297 0.500  -0.07
O2 0.704 0.296 0.000  -0.02
O3 0.719 0.767 0.726  -0.06
O4 0.767 0.719 0.274  -0.06
O5 0.233 0.281 0.274  -0.06
O6 0.281 0.233 0.726  -0.06
O7 0.296 0.704 0.000  -0.02
O8 0.297 0.703 0.500  -0.07

***

[4]
The following is a PBE-GGA calculation of an optimized crystal structure of MgZrCr, from Alexandria.

Computed properties:
**E above lowest polymorph**: 0.0 meV/atom
**Formation energy**: 0.053 eV per atom
**DFT total energy**: -39.216 eV/cell

Unit cell a=2.983 b=2.983 c=12.678 alpha=90.00 beta=90.00 gamma=90.00
Atoms (fractional coordinates):
Mg1 0.000 0.500 0.098
Mg2 0.500 0.000 0.902
Zr1 0.000 0.500 0.698
Zr2 0.500 0.000 0.302
Cr1 0.000 0.500 0.452
Cr2 0.500 0.000 0.548

***

[5]
The following is a PBE-GGA calculation of an optimized crystal structure of Cs2HgNCl6, from Alexandria.

Computed properties:
**Energy relative to the elements, uncorrected**: -0.594 eV per atom
**DFT total energy**: -27.349 eV/cell

Unit cell a=7.353 b=7.353 c=7.646 alpha=61.26 beta=61.26 gamma=90.00
Last column: magnetic moment on the atom in μB.
Atoms (fractional coordinates):
Cs1 0.750 0.250 0.500  0.00
Cs2 0.250 0.750 0.500  0.00
N1 0.500 0.500 0.000  0.63
Hg1 0.000 0.000 0.000  0.00
Cl1 0.212 0.212 0.577  0.00
Cl2 0.788 0.788 0.423  0.00
Cl3 0.289 0.289 0.000  0.02
Cl4 0.711 0.711 0.000  0.02
Cl5 0.711 0.289 0.000  0.02
Cl6 0.289 0.711 0.000  0.02

***

[6]
The following is a PBE-GGA calculation of an optimized crystal structure of CaAg2Br, from Alexandria.

Computed properties:
**E above lowest polymorph**: 210.7 meV/atom
**Energy relative to the elements, uncorrected**: -0.363 eV per atom
**DFT total energy**: -10.828 eV/cell

Unit cell a=4.285 b=4.283 c=5.659 alpha=90.00 beta=90.00 gamma=90.00
Atoms (fractional coordinates):
Ca1 0.500 0.500 0.750
Br1 0.500 0.500 0.250
Ag1 0.000 0.000 0.993
Ag2 0.000 0.000 0.507

***

[7]
The following is a PBE-GGA calculation of an optimized crystal structure of TcHg2Sb, from Alexandria.

Computed properties:
**Energy relative to the elements, uncorrected**: 0.330 eV per atom
**DFT total energy**: -13.771 eV/cell

Unit cell a=7.396 b=7.396 c=4.330 alpha=73.03 beta=73.03 gamma=23.94
Last column: magnetic moment on the atom in μB.
Atoms (fractional coordinates):
Hg1 0.937 0.937 0.062  0.00
Hg2 0.563 0.563 0.438  0.00
Sb1 0.750 0.750 0.750  -0.01
Tc1 0.250 0.250 0.250  0.37

***

[8]
The following is a PBE-GGA calculation of an optimized crystal structure of PmAlCl, from Alexandria.

Computed properties:
**Energy relative to the elements, uncorrected**: -1.248 eV per atom
**DFT total energy**: -28.169 eV/cell

Unit cell a=4.251 b=4.251 c=11.178 alpha=88.21 beta=88.21 gamma=60.00
Atoms (fractional coordinates):
Pm1 0.989 0.989 0.693
Pm2 0.011 0.011 0.307
Al1 0.666 0.666 0.519
Al2 0.334 0.334 0.481
Cl1 0.685 0.685 0.166
Cl2 0.315 0.315 0.834